1.
Density functional theory data (PBE-GGA) for a relaxed structure of LiAlNiRu2.

Geometry as extended XYZ:
```
5
Lattice="4.4343 0.0000 0.0000 0.0000 4.4343 0.0000 0.0000 0.0000 4.1812" Properties=species:S:1:pos:R:3 pbc="T T T"
Li 0.0000 0.0000 0.0000
Al 0.0000 0.0000 2.0906
Ni 2.2171 2.2171 0.0000
Ru 0.0000 2.2171 2.0906
Ru 2.2171 0.0000 2.0906
```

The value obtained for the density of states at the Fermi level is 6.4 states/eV per cell.

***

2.
Density functional theory data (PBE-GGA) for a relaxed structure of LiScAlNi.

Geometry as extended XYZ:
```
16
Lattice="6.1886 0.0000 0.0000 0.0000 6.1886 0.0000 0.0000 0.0000 6.1886" Properties=species:S:1:pos:R:3 pbc="T T T"
Li 0.0000 0.0000 0.0000
Li 0.0000 3.0943 3.0943
Li 3.0943 0.0000 3.0943
Li 3.0943 3.0943 0.0000
Sc 1.5471 1.5471 4.6414
Sc 1.5471 4.6414 1.5471
Sc 4.6414 1.5471 1.5471
Sc 4.6414 4.6414 4.6414
Al 1.5471 1.5471 1.5471
Al 1.5471 4.6414 4.6414
Al 4.6414 1.5471 4.6414
Al 4.6414 4.6414 1.5471
Ni 0.0000 0.0000 3.0943
Ni 0.0000 3.0943 0.0000
Ni 3.0943 0.0000 0.0000
Ni 3.0943 3.0943 3.0943
```

The value obtained for the density of states at the Fermi level is 18.7 states/eV per cell.

***

3.
Density functional theory data (PBE-GGA) for a relaxed structure of LiSm2Al12Ni3.

Geometry as extended XYZ:
```
18
Lattice="4.1260 2.3822 6.1228 -4.1260 2.3822 6.1228 0.0000 -4.7643 6.1228" Properties=species:S:1:pos:R:3 pbc="T T T"
Li 0.0000 0.0000 0.0000
Sm 0.0000 0.0000 7.6636
Sm 0.0000 0.0000 10.7048
Al -2.5780 -1.4884 9.9997
Al 0.0000 -1.8420 5.3512
Al -1.5952 0.9210 5.3512
Al 0.0000 -2.9768 8.3688
Al -2.5780 1.4884 8.3688
Al -1.5952 -0.9210 13.0173
Al 1.5952 0.9210 5.3512
Al 2.5780 -1.4884 9.9997
Al 0.0000 2.9768 9.9997
Al 1.5952 -0.9210 13.0173
Al 0.0000 1.8420 13.0173
Al 2.5780 1.4884 8.3688
Ni -4.1260 0.0000 9.1842
Ni -2.0630 1.1911 3.0614
Ni 2.0630 1.1911 3.0614
```

The value obtained for the density of states at the Fermi level is 12.2 states/eV per cell.

***

4.
Density functional theory data (PBE-GGA) for a relaxed structure of LiAlNiSn.

Geometry as extended XYZ:
```
16
Lattice="6.2114 0.0000 0.0000 0.0000 6.2114 0.0000 0.0000 0.0000 6.2114" Properties=species:S:1:pos:R:3 pbc="T T T"
Li 0.0000 0.0000 0.0000
Li 0.0000 3.1057 3.1057
Li 3.1057 0.0000 3.1057
Li 3.1057 3.1057 0.0000
Al 1.5529 1.5529 4.6586
Al 1.5529 4.6586 1.5529
Al 4.6586 1.5529 1.5529
Al 4.6586 4.6586 4.6586
Ni 0.0000 0.0000 3.1057
Ni 0.0000 3.1057 0.0000
Ni 3.1057 0.0000 0.0000
Ni 3.1057 3.1057 3.1057
Sn 1.5529 1.5529 1.5529
Sn 1.5529 4.6586 4.6586
Sn 4.6586 1.5529 4.6586
Sn 4.6586 4.6586 1.5529
```

The value obtained for the density of states at the Fermi level is 3.2 states/eV per cell.

***

5.
Density functional theory data (PBE-GGA) for a relaxed structure of SrLiAl2Ni.

Geometry as extended XYZ:
```
5
Lattice="4.6050 0.0000 0.0000 0.0000 4.6050 0.0000 0.0000 0.0000 4.9292" Properties=species:S:1:pos:R:3 pbc="T T T"
Sr 0.0000 0.0000 0.0000
Li 2.3025 2.3025 0.0000
Al 0.0000 2.3025 2.4646
Al 2.3025 0.0000 2.4646
Ni 2.3025 2.3025 2.4646
```

The value obtained for the density of states at the Fermi level is 3.5 states/eV per cell.

***

6.
Density functional theory data (PBE-GGA) for a relaxed structure of SrLi2AlNi.

Geometry as extended XYZ:
```
5
Lattice="4.8546 0.0000 0.0000 0.0000 4.8546 0.0000 0.0000 0.0000 4.6075" Properties=species:S:1:pos:R:3 pbc="T T T"
Sr 0.0000 0.0000 0.0000
Li 0.0000 2.4273 2.3038
Li 2.4273 0.0000 2.3038
Al 2.4273 2.4273 0.0000
Ni 2.4273 2.4273 2.3038
```

The value obtained for the density of states at the Fermi level is 2.7 states/eV per cell.

***

7.
Density functional theory data (PBE-GGA) for a relaxed structure of LiTaAlNi.

Geometry as extended XYZ:
```
16
Lattice="6.0119 0.0000 0.0000 0.0000 6.0119 0.0000 0.0000 0.0000 6.0119" Properties=species:S:1:pos:R:3 pbc="T T T"
Li 0.0000 0.0000 0.0000
Li 0.0000 3.0059 3.0059
Li 3.0059 0.0000 3.0059
Li 3.0059 3.0059 0.0000
Ta 1.5030 1.5030 1.5030
Ta 1.5030 4.5089 4.5089
Ta 4.5089 1.5030 4.5089
Ta 4.5089 4.5089 1.5030
Al 1.5030 1.5030 4.5089
Al 1.5030 4.5089 1.5030
Al 4.5089 1.5030 1.5030
Al 4.5089 4.5089 4.5089
Ni 0.0000 0.0000 3.0059
Ni 0.0000 3.0059 0.0000
Ni 3.0059 0.0000 0.0000
Ni 3.0059 3.0059 3.0059
```

The value obtained for the density of states at the Fermi level is 11.7 states/eV per cell.

***

8.
Density functional theory data (PBE-GGA) for a relaxed structure of Li3Tb2AlNi12.

Geometry as extended XYZ:
```
18
Lattice="3.6767 2.1227 5.7728 -3.6767 2.1227 5.7728 0.0000 -4.2454 5.7728" Properties=species:S:1:pos:R:3 pbc="T T T"
Li -1.8383 -1.0614 5.7728
Li -1.8383 1.0614 11.5456
Li 0.0000 2.1227 5.7728
Tb 0.0000 0.0000 1.8990
Tb 0.0000 0.0000 15.4194
Al 0.0000 0.0000 8.6592
Ni -1.9558 -1.1292 8.0332
Ni 0.0000 -2.0634 5.0667
Ni -1.7869 1.0317 5.0667
Ni 0.0000 -2.2584 9.2852
Ni -1.9558 1.1292 9.2852
Ni -1.7869 -1.0317 12.2517
Ni 1.7870 1.0317 5.0667
Ni 1.9558 -1.1292 8.0332
Ni 0.0000 2.2584 8.0332
Ni 1.7870 -1.0317 12.2517
Ni 0.0000 2.0634 12.2517
Ni 1.9558 1.1292 9.2852
```

The value obtained for the density of states at the Fermi level is 13.4 states/eV per cell.

***

Values for calculated formation energy, kJ/mol of atoms, ordered as above
109.85, -42.40, 2.47, -26.78, -22.22, -7.29, -16.08, 38.68